# Rb8TaSe6

Rb8TaSe6 after structural relaxation (PBE, Alexandria).

Structure (POSCAR):
```
Rb8TaSe6
1.0
-7.561 3.984 2.657
-5.466 -5.903 -6.704
-1.590 -9.402 9.575
Rb Se Ta
16 12 2
Cartesian
-11.763 -3.508 1.619 Rb
-2.875 1.303 1.197 Rb
-2.422 -9.159 7.157 Rb
-8.280 -5.361 3.292 Rb
-7.536 -5.040 -0.827 Rb
-5.951 -9.550 1.944 Rb
-5.378 -2.709 1.821 Rb
-7.492 -0.538 -1.597 Rb
-3.854 -7.285 4.516 Rb
-11.066 -2.756 -1.770 Rb
-9.837 -1.428 3.981 Rb
-5.962 -12.982 2.815 Rb
-7.697 0.882 2.362 Rb
-6.608 -6.258 7.667 Rb
-9.915 -9.829 3.611 Rb
-3.627 -3.303 5.865 Rb
-5.618 -3.616 -3.526 Se
-7.710 -3.243 6.030 Se
-0.886 -3.180 3.523 Se
-11.336 -7.185 7.390 Se
-5.474 -6.206 1.749 Se
-8.636 -2.375 0.953 Se
-11.096 -6.899 1.876 Se
-5.123 -0.458 4.581 Se
-7.074 -6.091 11.131 Se
-3.539 -1.370 -0.975 Se
-3.240 -5.946 7.878 Se
-6.947 -9.009 5.417 Se
-6.739 -1.002 6.377 Ta
-5.764 -11.027 6.230 Ta
```

Values from the calculation:
raw total energy = -0.1353 Ha/atom
ρ = 3.51 Mg/m³
crystal system = orthorhombic
M_tot = 0.91 μB per formula unit
space group = Pmn2_1 (31)
N(E_F) = 5.8 states/eV/f.u.